Compound: PmPrIn2
Source: the Alexandria database
Functional: GGA-PBEsol
Structure: relaxed

Cell and atoms, written as CIF:
```
data_PmPrIn2
_chemical_formula_sum 'Pm4 Pr4 In8'
_space_group_name_H-M_alt 'F m -3 m'
_space_group_IT_number 225
_space_group_name_Hall '-F 4 2 3'
_cell_length_a 7.615
_cell_length_b 7.615
_cell_length_c 7.615
_cell_angle_alpha 90.00
_cell_angle_beta 90.00
_cell_angle_gamma 90.00
loop_
_atom_site_label
_atom_site_type_symbol
_atom_site_fract_x
_atom_site_fract_y
_atom_site_fract_z
_atom_site_occupancy
Pm1 Pm 0.000 0.000 0.000 1
Pr1 Pr 0.000 0.000 0.500 1
In1 In 0.250 0.250 0.250 1
```

Computed properties:
Calculated density, g/cm³: 7.75
Energy of formation, eV per atom: -0.54